## Er2AlCo5B2 (PBE)

Data for a geometry-optimized Er2AlCo5B2 structure.

Summary:
The value obtained for the calculated formation energy is -464 meV/atom. The value obtained for the raw total energy is -132.8 eV for the cell shown.

```
data_Er2AlCo5B2
_chemical_formula_sum 'Er4 Al2 Co10 B4'
_symmetry_space_group_name_H-M 'P 4/m b m'
_symmetry_Int_Tables_number 127
_symmetry_space_group_name_Hall '-P 4 2ab'
_cell_length_a 9.005
_cell_length_b 9.005
_cell_length_c 3.010
_cell_angle_alpha 90.00
_cell_angle_beta 90.00
_cell_angle_gamma 90.00
loop_
_atom_site_label
_atom_site_type_symbol
_atom_site_fract_x
_atom_site_fract_y
_atom_site_fract_z
Er1 Er 0.178 0.322 0.000
Al1 Al 0.000 0.000 0.000
Co1 Co 0.000 0.500 0.500
Co2 Co 0.068 0.773 0.500
B1 B 0.119 0.619 0.000
```